# Ti2FeO5, optimized geometry, DFT PBE+U
# raw total energy: -8.42 eV/atom
data_Ti2FeO5
_cell_length_a 3.760
_cell_length_b 9.919
_cell_length_c 10.242
_cell_angle_alpha 90.00
_cell_angle_beta 90.00
_cell_angle_gamma 90.00
_symmetry_space_group_name_H-M 'C m c m'
_symmetry_Int_Tables_number 63
_symmetry_space_group_name_Hall '-C 2c 2'
loop_
_atom_site_label
_atom_site_fract_x
_atom_site_fract_y
_atom_site_fract_z
_atom_site_occupancy
Ti1 0.000 0.133 0.067 1
Fe1 0.000 0.193 0.750 1
O1 0.000 0.045 0.612 1
O2 0.000 0.205 0.250 1
O3 0.000 0.314 0.559 1